[1]
# HoTe2Au

Crystalline HoTe2Au at its relaxed geometry (PBE, Alexandria).

Uncorrected formation energy   -0.883 eV/atom
SG   No. 1

abc: 4.5468 4.5454 8.8235
angles: 59.62 75.26 60.00
Element x y z (fractional)
Ho  0.8429  0.8606  0.7955
Te  0.1772  0.3934  0.5918
Te  0.5086  0.2209  0.1079
Au  0.1758  0.0097  0.9833

---

[2]
# Na2Cu2Pd

Crystalline Na2Cu2Pd at its relaxed geometry (PBE, Alexandria).

SG   No. 127
Energy of formation from the pure elements   0.118 eV/atom
DOS at the Fermi energy   1.2 states/eV/f.u.

abc: 6.4139 6.4139 4.6070
angles: 90.00 90.00 90.00
Element x y z (fractional)
Na  0.1821  0.6821  0.5000
Na  0.6821  0.8179  0.5000
Na  0.8179  0.3179  0.5000
Na  0.3179  0.1821  0.5000
Cu  0.3693  0.8693  0.0000
Cu  0.8693  0.6307  0.0000
Cu  0.6307  0.1307  0.0000
Cu  0.1307  0.3693  0.0000
Pd  0.0000  0.0000  0.0000
Pd  0.5000  0.5000  0.0000